DFT (PBE) results for BaYCrAu2 after structural relaxation.

Properties
**N(E_F)**: 5.212 states/eV/f.u.
**M_tot**: 0.668 μB per atom
**Formation enthalpy at 0 K**: 436 meV per atom

Cell and atoms, written as POSCAR:
```
BaYCrAu2
1.0
5.1607 0.0000 0.0000
0.0000 5.1607 0.0000
0.0000 0.0000 5.2413
Ba Y Cr Au
1 1 1 2
direct
0.0000 0.0000 0.0000
0.5000 0.5000 0.0000
0.0000 0.0000 0.5000
0.0000 0.5000 0.5000
0.5000 0.0000 0.5000
```

DFT (PBE) results for Ba2ZrCrAu after structural relaxation.

Properties
**N(E_F)**: 6.662 states/eV/f.u.
**M_tot**: 0.634 μB per atom
**Formation enthalpy at 0 K**: 617 meV per atom

Cell and atoms, written as POSCAR:
```
Ba2ZrCrAu
1.0
6.3244 0.0000 0.0000
0.0000 6.3244 0.0000
0.0000 0.0000 5.3100
Ba Zr Cr Au
2 1 1 1
direct
0.0000 0.5000 0.0000
0.5000 0.0000 0.0000
0.0000 0.0000 0.5000
0.5000 0.5000 0.5000
0.0000 0.0000 0.0000
```